Record 1
The following is a PBE calculation of a geometry-optimized TaGaIrRh structure, from Alexandria via LeMat-Bulk.

a = 4.438 Å, b = 4.438 Å, c = 4.438 Å
α = 60.00°, β = 60.00°, γ = 60.00°
Positions (direct):
Rh (0.000, 0.000, 0.000)
Ta (0.250, 0.250, 0.250)
Ga (0.750, 0.750, 0.750)
Ir (0.500, 0.500, 0.500)

Calculated values
* space group: F-43m, No. 216
* E above lowest polymorph: 127.9 meV per atom
* calculated total energy: -8.271 eV/atom
* M_tot: 0.000 μB/cell
* Fermi-level density of states: 2.3 states/eV/cell


Record 2
The following is a PBE calculation of a geometry-optimized Ca5Tl2Ag structure, from Alexandria via LeMat-Bulk.

a = 5.390 Å, b = 7.003 Å, c = 13.012 Å
α = 90.00°, β = 90.00°, γ = 90.00°
Positions (direct):
Ca (0.000, 0.136, 0.779)
Ca (0.000, 0.864, 0.221)
Ca (0.500, 0.834, 0.897)
Ca (0.500, 0.666, 0.397)
Ca (0.000, 0.636, 0.721)
Ca (0.500, 0.166, 0.103)
Ca (0.500, 0.334, 0.603)
Ca (0.000, 0.364, 0.279)
Ca (0.000, 0.000, 0.500)
Ca (0.000, 0.500, 0.000)
Tl (0.500, 0.627, 0.141)
Tl (0.500, 0.873, 0.641)
Tl (0.500, 0.127, 0.359)
Tl (0.500, 0.373, 0.859)
Ag (0.000, 0.000, 0.000)
Ag (0.000, 0.500, 0.500)

Calculated values
* space group: Pbam, No. 55
* calculated total energy: -2.516 eV/atom
* M_tot: 0.000 μB/cell
* Fermi-level density of states: 16.2 states/eV/cell


Record 3
The following is a PBE calculation of a geometry-optimized LiGaCuSi2 structure, from Alexandria via LeMat-Bulk.

a = 4.470 Å, b = 4.593 Å, c = 4.470 Å
α = 90.00°, β = 90.00°, γ = 90.00°
Positions (direct):
Si (0.000, 0.000, 0.500)
Si (0.500, 0.000, 0.000)
Cu (0.000, 0.000, 0.000)
Ga (0.500, 0.500, 0.500)
Li (0.000, 0.500, 0.000)

Calculated values
* E_form (uncorrected): 0.3510 eV/atom
* space group: P4/mmm, No. 123
* calculated total energy: -3.626 eV/atom
* M_tot: 0.000 μB/cell
* Fermi-level density of states: 2.5 states/eV/cell


Record 4
The following is a PBE calculation of a geometry-optimized Ag2TeN structure, from Alexandria via LeMat-Bulk.

a = 4.788 Å, b = 4.788 Å, c = 4.788 Å
α = 60.00°, β = 60.00°, γ = 60.00°
Site moments in Bohr magnetons follow the coordinates.
Positions (direct):
Ag (0.250, 0.250, 0.250)  0.11
Ag (0.750, 0.750, 0.750)  0.11
Te (0.500, 0.500, 0.500)  0.31
N (0.000, 0.000, 0.000)  1.47

Calculated values
* E_form (uncorrected): 1.1874 eV/atom
* space group: Fm-3m, No. 225
* E above lowest polymorph: 321.0 meV per atom
* calculated total energy: -3.105 eV/atom
* M_tot: 2.783 μB/cell
* Fermi-level density of states: 2.4 states/eV/cell


Record 5
The following is a PBE calculation of a geometry-optimized Y2OsCl structure, from Alexandria via LeMat-Bulk.

a = 4.958 Å, b = 4.958 Å, c = 4.958 Å
α = 60.00°, β = 60.00°, γ = 60.00°
Positions (direct):
Cl (0.000, 0.000, 0.000)
Y (0.250, 0.250, 0.250)
Y (0.750, 0.750, 0.750)
Os (0.500, 0.500, 0.500)

Calculated values
* E_form (uncorrected): -0.3577 eV/atom
* space group: Fm-3m, No. 225
* E above lowest polymorph: 522.5 meV per atom
* calculated total energy: -6.859 eV/atom
* M_tot: 0.000 μB/cell
* Fermi-level density of states: 2.7 states/eV/cell


Record 6
The following is a PBE calculation of a geometry-optimized LiTh5Hg6 structure, from Alexandria via LeMat-Bulk.

a = 5.244 Å, b = 7.863 Å, c = 9.037 Å
α = 64.21°, β = 73.32°, γ = 90.00°
Positions (direct):
Hg (0.154, 0.377, 0.691)
Hg (0.846, 0.068, 0.309)
Hg (0.500, 0.797, 0.000)
Hg (0.500, 0.203, 0.000)
Hg (0.846, 0.623, 0.309)
Hg (0.154, 0.932, 0.691)
Li (0.000, 0.000, 0.000)
Th (0.000, 0.500, 0.000)
Th (0.315, 0.815, 0.370)
Th (0.652, 0.652, 0.695)
Th (0.348, 0.348, 0.305)
Th (0.685, 0.185, 0.630)

Calculated values
* space group: C2/m, No. 12
* calculated total energy: -3.621 eV/atom
* M_tot: 0.000 μB/cell
* Fermi-level density of states: 12.1 states/eV/cell


Record 7
The following is a PBE calculation of a geometry-optimized Li2POs structure, from Alexandria via LeMat-Bulk.

a = 5.000 Å, b = 5.000 Å, c = 5.000 Å
α = 145.24°, β = 134.58°, γ = 58.44°
Positions (direct):
Os (0.750, 0.250, 0.500)
P (0.250, 0.750, 0.500)
Li (0.488, 0.488, 0.000)
Li (0.012, 0.012, 0.000)

Calculated values
* space group: Immm, No. 71
* calculated total energy: -5.250 eV/atom
* M_tot: 0.000 μB/cell
* Fermi-level density of states: 2.3 states/eV/cell


Record 8
The following is a PBE calculation of a geometry-optimized KNa2TlHg structure, from Alexandria via LeMat-Bulk.

a = 6.013 Å, b = 6.013 Å, c = 5.820 Å
α = 90.00°, β = 90.00°, γ = 90.00°
Positions (direct):
K (0.500, 0.500, 0.500)
Hg (0.000, 0.000, 0.500)
Tl (0.000, 0.000, 0.000)
Na (0.000, 0.500, 0.000)
Na (0.500, 0.000, 0.000)

Calculated values
* space group: P4/mmm, No. 123
* E above lowest polymorph: 25.2 meV per atom
* calculated total energy: -1.313 eV/atom
* M_tot: 0.000 μB/cell
* Fermi-level density of states: 2.0 states/eV/cell